The following is a DFT calculation (PBE-GGA) of an optimized crystal structure of NaH8Pd4.

## Properties
calculated density = 5.0 Mg/m³
polymorph energy (0 for the lowest one) = 0 meV per atom
symmetry = No. 2
calculated volume = 152.4 Å³ per cell
electronic total energy = -50.22 eV for the cell shown

Cell and atoms, written as extended XYZ:
```
13
Lattice="0.628 -4.388 3.715 3.299 0.256 -4.702 0.757 3.344 5.919" Properties=species:S:1:pos:R:3 pbc="T T T"
Na 2.028 1.800 0.609
H 0.630 -2.145 2.960
H 1.975 0.164 -1.252
H 2.293 -2.018 0.617
H 0.328 0.042 1.118
H 4.356 -0.830 3.814
H 2.391 1.230 4.316
H 2.709 -0.952 6.185
H 4.054 1.357 1.972
Pd 0.984 -1.036 -0.247
Pd 3.700 0.248 5.180
Pd 2.631 -0.906 -2.595
Pd 2.053 0.118 7.528
```